Material: VTeO2F
Method: DFT, GGA+U
State: optimized geometry

## Properties
symmetry: P4/mmm (123)
density of states at the Fermi level: 5.38 states/eV per cell
volume: 64 Å³ per cell
total energy: -5.365 eV per atom

Unit cell a=3.915 b=3.915 c=4.163 alpha=90.00 beta=90.00 gamma=90.00
Positions (direct):
V: 0.000 0.000 0.000
Te: 0.500 0.500 0.500
O: 0.000 0.500 0.000
O: 0.500 0.000 0.000
F: 0.000 0.000 0.500